Tm8Ga3Co | meta-GGA SCAN | PBEsol geometry

Output
Space group   P6_3mc (186)
VASP energy   -973.58 eV/cell
Density   9.84 Mg/m³
ΔE_f   -5.792 eV per formula unit
Magnetic moment   0.0000 μB per atom

Cell lengths 9.722, 9.722, 6.682 Å; angles 90.00, 90.00, 120.00 degrees
Fractional coordinates of all 24 atoms:
Tm 0.000 0.000 0.100
Tm 0.000 0.000 0.600
Tm 0.070 0.535 0.121
Tm 0.173 0.346 0.821
Tm 0.173 0.827 0.821
Tm 0.333 0.667 0.500
Tm 0.346 0.173 0.321
Tm 0.465 0.535 0.121
Tm 0.465 0.930 0.121
Tm 0.535 0.070 0.621
Tm 0.535 0.465 0.621
Tm 0.654 0.827 0.821
Tm 0.667 0.333 0.000
Tm 0.827 0.173 0.321
Tm 0.827 0.654 0.321
Tm 0.930 0.465 0.621
Ga 0.163 0.327 0.368
Ga 0.163 0.837 0.368
Ga 0.327 0.163 0.868
Ga 0.673 0.837 0.368
Ga 0.837 0.163 0.868
Ga 0.837 0.673 0.868
Co 0.333 0.667 0.888
Co 0.667 0.333 0.388

=====

CaZrI2N | meta-GGA SCAN | PBEsol geometry

Output
ΔE to the lowest computed polymorph   0.0 meV/atom
E_form (uncorrected)   -0.710 eV per atom
Space group   P4/mmm (123)
VASP energy   -126.69 eV/cell
Density   4.85 Mg/m³
Magnetic moment   0.0005 μB per atom

Cell lengths 5.819, 5.819, 4.034 Å; angles 90.00, 90.00, 90.00 degrees
Fractional coordinates of all 5 atoms:
Ca 0.000 0.000 0.000
Zr 0.500 0.500 0.500
I 0.000 0.500 0.500
I 0.500 0.000 0.500
N 0.500 0.500 0.000

=====

Cd5Rh3 | meta-GGA SCAN | PBEsol geometry

Output
Space group   Cmmm (65)
VASP energy   -254.35 eV/cell
Density   10.84 Mg/m³
ΔE_f   -0.962 eV per formula unit
Magnetic moment   0.0000 μB per atom

Cell lengths 5.614, 5.614, 4.265 Å; angles 90.00, 90.00, 97.03 degrees
Fractional coordinates of all 8 atoms:
Cd 0.000 0.000 0.000
Cd 0.000 0.500 0.000
Cd 0.276 0.276 0.500
Cd 0.500 0.000 0.000
Cd 0.724 0.724 0.500
Rh 0.231 0.769 0.500
Rh 0.500 0.500 0.000
Rh 0.769 0.231 0.500

=====

The lowest VASP energy belongs to which entry? Tm8Ga3Co

=====

The highest VASP energy belongs to which entry? CaZrI2N

=====

Repeat the second record exactly.
CaZrI2N | meta-GGA SCAN | PBEsol geometry

Output
ΔE to the lowest computed polymorph   0.0 meV/atom
E_form (uncorrected)   -0.710 eV per atom
Space group   P4/mmm (123)
VASP energy   -126.69 eV/cell
Density   4.85 Mg/m³
Magnetic moment   0.0005 μB per atom

Cell lengths 5.819, 5.819, 4.034 Å; angles 90.00, 90.00, 90.00 degrees
Fractional coordinates of all 5 atoms:
Ca 0.000 0.000 0.000
Zr 0.500 0.500 0.500
I 0.000 0.500 0.500
I 0.500 0.000 0.500
N 0.500 0.500 0.000

=====

What is the magnetic moment in the third record? 0.0000 μB per atom